Material: AcMg4Al
Method: DFT, PBE
State: optimized geometry

Cell lengths 8.599, 8.599, 8.599 Å; angles 90.00, 90.00, 90.00 degrees
Space group F-43m (No. 216)
One atom of each set of equivalent atoms:
Ac (0.000, 0.000, 0.000) x4
Mg (0.124, 0.124, 0.376) x16
Al (0.250, 0.250, 0.750) x4

Summary:
The density of states at the Fermi level is 13.65 states/eV/cell. The calculation puts the total DFT energy (no corrections) at -0.0848 Ha/atom. The value obtained for the formation enthalpy at 0 K is 0.064 eV/atom.